Below is a geometry-optimized Mg2SbPd7 structure, with properties calculated at the PBE-GGA level.

a = 4.1682 Å, b = 7.6674 Å, c = 7.6674 Å
α = 122.61°, β = 90.00°, γ = 90.00°
With the nearest neighbours (Å) after each atom.
Element x y z (fractional)
Pd  0.5000  0.5000  0.5000  2 Mg 2.64, 4 Pd 2.70
Mg  0.5000  0.6961  0.3039  5 Pd 2.55-2.64
Pd  0.5000  0.0824  0.2894  1 Mg 2.63, 5 Pd 2.70-2.78, 2 Sb 2.86
Pd  0.5000  0.7106  0.9176  1 Mg 2.63, 5 Pd 2.70-2.78, 2 Sb 2.86
Pd  0.0000  0.8047  0.1953  2 Mg 2.55, 1 Sb 2.63, 4 Pd 2.78
Pd  0.5000  0.2894  0.0824  1 Mg 2.63, 5 Pd 2.70-2.78, 2 Sb 2.86
Sb  0.0000  0.0000  0.0000  10 Pd 2.63-2.86
Pd  0.5000  0.9176  0.7106  1 Mg 2.63, 5 Pd 2.70-2.78, 2 Sb 2.86
Mg  0.5000  0.3039  0.6961  5 Pd 2.55-2.64
Pd  0.0000  0.1953  0.8047  2 Mg 2.55, 1 Sb 2.63, 4 Pd 2.78

Computed properties:
As for the raw formation energy: 0.47 kcal/mol of atoms. The value obtained for the magnetization is 0.0 μB/cell.



Below is a geometry-optimized ThGa2Rh6 structure, with properties calculated at the PBE-GGA level.

a = 7.8407 Å, b = 7.8407 Å, c = 7.8407 Å
α = 60.00°, β = 60.00°, γ = 60.00°
With the nearest neighbours (Å) after each atom.
Element x y z (fractional)
Rh  0.2612  0.7388  0.2612  2 Ga 2.47, 1 Th 2.65
Rh  0.9888  0.5112  0.9888  2 Ga 2.47, 1 Th 2.65
Ga  0.1250  0.1250  0.6250  6 Rh 2.47
Ga  0.1250  0.6250  0.1250  6 Rh 2.47
Rh  0.9888  0.5112  0.5112  2 Ga 2.47, 1 Th 2.65
Ga  0.1250  0.1250  0.1250  6 Rh 2.47
Ga  0.6250  0.1250  0.1250  6 Rh 2.47
Rh  0.7388  0.2612  0.7388  2 Ga 2.47, 1 Th 2.65
Rh  0.5112  0.9888  0.5112  2 Ga 2.47, 1 Th 2.65
Rh  0.2612  0.7388  0.7388  2 Ga 2.47, 1 Th 2.65
Rh  0.5112  0.5112  0.9888  2 Ga 2.47, 1 Th 2.65
Th  0.7500  0.7500  0.7500  6 Rh 2.65
Rh  0.5112  0.9888  0.9888  2 Ga 2.47, 1 Th 2.65
Rh  0.2612  0.2612  0.7388  2 Ga 2.47, 1 Th 2.65
Rh  0.7388  0.2612  0.2612  2 Ga 2.47, 1 Th 2.65
Rh  0.7388  0.7388  0.2612  2 Ga 2.47, 1 Th 2.65
Rh  0.9888  0.9888  0.5112  2 Ga 2.47, 1 Th 2.65
Th  0.5000  0.5000  0.5000  6 Rh 2.65

Computed properties:
The calculation puts the formation enthalpy at 0 K at -0.127 eV/atom. The value obtained for the magnetization is 0.0 μB/cell.



Below is a geometry-optimized ReAsCl3 structure, with properties calculated at the PBE-GGA level.

a = 5.1475 Å, b = 5.1475 Å, c = 5.1475 Å
α = 90.00°, β = 90.00°, γ = 90.00°
With the nearest neighbours (Å) after each atom.
Element x y z (fractional)
Cl  0.0000  0.0000  0.5000  2 As 2.57
Cl  0.0000  0.5000  0.0000  2 As 2.57
As  0.0000  0.0000  0.0000  6 Cl 2.57
Cl  0.5000  0.0000  0.0000  2 As 2.57
Re  0.5000  0.5000  0.5000  12 Cl 3.64

Computed properties:
As for the raw formation energy: 21.70 kcal/mol of atoms. The value obtained for the magnetization is 5.7 μB/cell.



Below is a geometry-optimized KCaNdO3 structure, with properties calculated at the PBE-GGA level.

a = 3.5888 Å, b = 7.4709 Å, c = 10.0990 Å
α = 90.48°, β = 90.00°, γ = 90.00°
With the nearest neighbours (Å) after each atom.
Element x y z (fractional)
Nd  0.2500  0.6067  0.1300  5 O 2.24-2.47
O  0.7500  0.7667  0.2168  1 Ca 2.31, 2 Nd 2.32
O  0.2500  0.6146  0.9081  3 Nd 2.24-2.47
O  0.7500  0.3854  0.0919  3 Nd 2.24-2.47
Ca  0.7500  0.8407  0.4398  4 O 2.21-2.31
K  0.2500  0.1327  0.2177  4 O 2.81-2.90
K  0.7500  0.8673  0.7823  4 O 2.81-2.90
O  0.2500  0.8545  0.5679  3 Ca 2.21-2.28
O  0.7500  0.1455  0.4321  3 Ca 2.21-2.28
Ca  0.2500  0.1593  0.5602  4 O 2.21-2.31
Nd  0.7500  0.3933  0.8700  5 O 2.24-2.47
O  0.2500  0.2333  0.7832  1 Ca 2.31, 2 Nd 2.32

Computed properties:
As for the raw formation energy: -57.63 kcal/mol of atoms. The value obtained for the magnetization is 0.0 μB/cell.



Below is a geometry-optimized CaCrCl2 structure, with properties calculated at the PBE-GGA level.

a = 4.1674 Å, b = 3.7955 Å, c = 6.0708 Å
α = 94.25°, β = 90.00°, γ = 90.00°
With the nearest neighbours (Å) after each atom.
Element x y z (fractional)
Cr  0.5000  0.2500  0.2500  4 Cl 2.63
Ca  0.5000  0.7500  0.7500  4 Cl 2.82
Cl  0.0000  0.0772  0.0016  2 Cr 2.63, 2 Ca 2.82
Cl  0.0000  0.4228  0.4984  2 Cr 2.63, 2 Ca 2.82

Computed properties:
As for the raw formation energy: -16.70 kcal/mol of atoms. The value obtained for the magnetization is 4.3 μB/cell.



Below is a geometry-optimized Pr2Dy2Tm2Mg structure, with properties calculated at the PBE-GGA level.

a = 3.6538 Å, b = 6.3538 Å, c = 11.6029 Å
α = 117.82°, β = 90.00°, γ = 106.71°
With the nearest neighbours (Å) after each atom.
Element x y z (fractional)
Tm  0.7444  0.4889  0.6246  2 Mg 3.18, 2 Tm 3.48, 2 Dy 3.51, 3 Pr 3.52-3.55
Mg  0.0000  0.0000  0.5000  4 Tm 3.18, 4 Pr 3.26
Pr  0.5264  0.0527  0.7451  2 Mg 3.26, 3 Dy 3.48-3.61, 3 Tm 3.52-3.55
Dy  0.6814  0.3627  0.0887  4 Pr 3.48-3.85, 2 Tm 3.51, 5 Dy 3.65-3.86
Dy  0.3186  0.6373  0.9113  4 Pr 3.48-3.85, 2 Tm 3.51, 5 Dy 3.65-3.86
Tm  0.2556  0.5111  0.3754  2 Mg 3.18, 2 Tm 3.48, 2 Dy 3.51, 3 Pr 3.52-3.55
Pr  0.4736  0.9473  0.2549  2 Mg 3.26, 3 Dy 3.48-3.61, 3 Tm 3.52-3.55

Computed properties:
The calculation puts the formation enthalpy at 0 K at 0.090 eV/atom. The value obtained for the magnetization is 0.0 μB/cell.



Below is a geometry-optimized Cu2HPdSe structure, with properties calculated at the PBE-GGA level.

a = 4.0377 Å, b = 4.0377 Å, c = 3.7991 Å
α = 90.00°, β = 90.00°, γ = 90.00°
With the nearest neighbours (Å) after each atom.
Element x y z (fractional)
Cu  0.5000  0.0000  0.0000  2 H 2.02
Pd  0.0000  0.0000  0.5000  2 H 1.90
Cu  0.0000  0.5000  0.0000  2 H 2.02
H  0.0000  0.0000  0.0000  2 Pd 1.90, 4 Cu 2.02
Se  0.5000  0.5000  0.5000  8 Cu 2.77, 4 Pd 2.86

Computed properties:
The value obtained for the magnetization is 0.0 μB/cell.



Below is a geometry-optimized KReIr3 structure, with properties calculated at the PBE-GGA level.

a = 4.8333 Å, b = 4.8333 Å, c = 4.8333 Å
α = 90.00°, β = 90.00°, γ = 90.00°
With the nearest neighbours (Å) after each atom.
Element x y z (fractional)
Re  0.0000  0.0000  0.0000  6 Ir 2.42
Ir  0.0000  0.0000  0.5000  2 Re 2.42
K  0.5000  0.5000  0.5000  12 Ir 3.42
Ir  0.0000  0.5000  0.0000  2 Re 2.42
Ir  0.5000  0.0000  0.0000  2 Re 2.42

Computed properties:
The calculation puts the formation enthalpy at 0 K at 1.286 eV/atom. The value obtained for the magnetization is 0.0 μB/cell.



Number 1: E -4.346 eV per atom. Number 2: E -6.525 eV per atom. Number 3: E -3.587 eV per atom. Number 4: E -6.289 eV per atom. Number 5: E -4.554 eV per atom. Number 6: E -4.096 eV per atom. Number 7: E -4.021 eV per atom. Number 8: E -6.740 eV per atom.